A plane-wave DFT calculation with PBE was carried out for a geometry-optimized TiSe2BrN structure.

## Properties
Fermi-level density of states = 1.01 states/eV per atom
spin magnetization = 0.0 Bohr magnetons per cell
symmetry = P4/mmm
calculated volume = 101 Å³ per cell
E above lowest polymorph = 0 meV/atom
E_form (uncorrected) = 0.14 eV/atom

abc: 5.138 5.138 3.825
angles: 90.00 90.00 90.00
Sites, in units of the cell vectors:
Ti  0.000  0.000  0.000
N  0.000  0.000  0.500
Br  0.500  0.500  0.500
Se  0.500  0.000  0.000
Se  0.000  0.500  0.000